No. 1
Here is K2HgAuBr6 at its PBEsol-relaxed geometry from Alexandria. Energies are from SCAN.

For the total magnetization, the calculation gives 0.00 μB per cell. The raw total energy comes out at -27.975 eV/atom.

The structure belongs to space group Fm-3m (No. 225); the cell edges are 10.782, 10.782 and 10.782 Å and the angles 90.00°, 90.00° and 90.00°. The asymmetric unit holds K at (0.250, 0.250, 0.250), Hg at (0.000, 0.000, 0.000), Au at (0.000, 0.000, 0.500) and Br at (0.000, 0.000, 0.255).


No. 2
Here is Rb2HgAuBr6 at its PBEsol-relaxed geometry from Alexandria. Energies are from SCAN.

For the total magnetization, the calculation gives 0.00 μB per cell. The raw total energy comes out at -30.503 eV/atom.

The structure belongs to space group Fm-3m (No. 225); the cell edges are 10.817, 10.817 and 10.817 Å and the angles 90.00°, 90.00° and 90.00°. The asymmetric unit holds Rb at (0.250, 0.250, 0.250), Hg at (0.000, 0.000, 0.000), Au at (0.000, 0.000, 0.500) and Br at (0.000, 0.000, 0.256).